1) Material: SiPC2
Method: DFT, PBE-GGA
State: optimized geometry

Cell lengths 3.0537, 3.1902, 4.8506 Å; angles 90.13, 90.11, 117.68 degrees
Space group P1 (No. 1)
Symmetry-distinct sites (fractional):
Si1 0.0000 0.0000 0.0000
P1 0.6575 0.3288 0.5048
C1 0.0012 0.0009 0.3927
C2 0.6684 0.3440 0.8771

Calculated values
- Magnetic moment: 0.0000 μB/atom
- Calculated volume: 41.8 Å³ per cell

2) Material: SiPC2
Method: DFT, PBE-GGA
State: optimized geometry

Cell lengths 3.4132, 3.0296, 5.2774 Å; angles 90.00, 94.10, 90.00 degrees
Space group Pm (No. 6)
Symmetry-distinct sites (fractional):
Si1 0.0000 0.0000 0.0000
P1 0.0889 0.5000 0.4991
C1 0.0140 0.5000 0.1747
C2 0.0265 0.0000 0.6599

Calculated values
- Magnetic moment: 0.0000 μB/atom
- Calculated volume: 54.4 Å³ per cell

It comes down to 1), which is 0.186 eV/atom more stable than the next structure.

1) Material: SiPC2
Method: DFT, PBE-GGA
State: optimized geometry

Cell lengths 2.9771, 3.0004, 5.5199 Å; angles 80.51, 74.90, 60.27 degrees
Space group P1 (No. 1)
Symmetry-distinct sites (fractional):
Si1 0.0000 0.0000 0.0000
P1 0.7290 0.9597 0.5957
C1 0.4748 0.6263 0.4327
C2 0.6055 0.6490 0.1442

Calculated values
- Magnetic moment: 0.0000 μB/atom
- Calculated volume: 41.3 Å³ per cell

2) Material: SiPC2
Method: DFT, PBE-GGA
State: optimized geometry

Cell lengths 3.0687, 3.0687, 4.2791 Å; angles 90.00, 90.00, 90.00 degrees
Space group P-4m2 (No. 115)
Symmetry-distinct sites (fractional):
Si1 0.0000 0.0000 0.0000
P1 0.5000 0.5000 0.5000
C1 0.0000 0.5000 0.2602

Calculated values
- Magnetic moment: 0.0000 μB/atom
- Calculated volume: 40.3 Å³ per cell

It comes down to 2), which is 0.109 eV/atom more stable than the next structure.

1) Material: SiPC2
Method: DFT, PBE-GGA
State: optimized geometry

Cell lengths 5.2022, 3.0144, 5.1735 Å; angles 90.00, 91.83, 90.00 degrees
Space group Cm (No. 8)
Symmetry-distinct sites (fractional):
Si1 0.0000 0.0000 0.0000
P1 0.1935 0.5000 0.6047
C1 0.3393 0.0000 0.1451
C2 0.3512 0.0000 0.4404

Calculated values
- Magnetic moment: 0.0000 μB/atom
- Calculated volume: 81.1 Å³ per cell

2) Material: SiPC2
Method: DFT, PBE-GGA
State: optimized geometry

Cell lengths 5.2986, 5.2986, 5.2986 Å; angles 90.00, 90.00, 90.00 degrees
Space group Fm-3m (No. 225)
Symmetry-distinct sites (fractional):
Si1 0.0000 0.0000 0.0000
P1 0.0000 0.0000 0.5000
C1 0.2500 0.2500 0.2500

Calculated values
- Magnetic moment: 0.0000 μB/atom
- Calculated volume: 148.8 Å³ per cell

It comes down to 1), which is 1.756 eV/atom more stable than the next structure.

1) Material: Si3PC
Method: DFT, PBE-GGA
State: optimized geometry

Cell lengths 4.0527, 4.0527, 4.0527 Å; angles 90.00, 90.00, 90.00 degrees
Space group Pm-3m (No. 221)
Symmetry-distinct sites (fractional):
Si1 0.0000 0.0000 0.5000
P1 0.5000 0.5000 0.5000
C1 0.0000 0.0000 0.0000

Calculated values
- Magnetic moment: 0.0000 μB/atom
- Calculated volume: 66.6 Å³ per cell

2) Material: Si3PC
Method: DFT, PBE-GGA
State: optimized geometry

Cell lengths 4.4529, 4.4529, 4.4529 Å; angles 90.00, 90.00, 90.00 degrees
Space group Pm-3m (No. 221)
Symmetry-distinct sites (fractional):
Si1 0.0000 0.0000 0.5000
P1 0.0000 0.0000 0.0000
C1 0.5000 0.5000 0.5000

Calculated values
- Magnetic moment: 0.0000 μB/atom
- Calculated volume: 88.3 Å³ per cell

It comes down to 1), which is 0.980 eV/atom more stable than the next structure.

1) Material: Si2PC
Method: DFT, PBE-GGA
State: optimized geometry

Cell lengths 3.3915, 3.3915, 4.8604 Å; angles 90.00, 90.00, 90.00 degrees
Space group P-4m2 (No. 115)
Symmetry-distinct sites (fractional):
Si1 0.0000 0.5000 0.1926
P1 0.5000 0.5000 0.5000
C1 0.0000 0.0000 0.0000

Calculated values
- Magnetic moment: 0.0000 μB/atom
- Calculated volume: 55.9 Å³ per cell

2) Material: Si2PC
Method: DFT, PBE-GGA
State: optimized geometry

Cell lengths 5.7406, 5.7406, 5.7406 Å; angles 90.00, 90.00, 90.00 degrees
Space group Fm-3m (No. 225)
Symmetry-distinct sites (fractional):
Si1 0.2500 0.2500 0.2500
P1 0.0000 0.0000 0.0000
C1 0.0000 0.0000 0.5000

Calculated values
- Magnetic moment: 0.0000 μB/atom
- Calculated volume: 189.2 Å³ per cell

It comes down to 1), which is 1.190 eV/atom more stable than the next structure.

1) Material: Si2PC
Method: DFT, PBE-GGA
State: optimized geometry

Cell lengths 5.6562, 3.2887, 6.0166 Å; angles 90.00, 103.50, 90.00 degrees
Space group Cm (No. 8)
Symmetry-distinct sites (fractional):
Si1 0.0000 0.0000 0.0000
Si2 0.2205 0.0000 0.5716
P1 0.3353 0.5000 0.3703
C1 0.3086 0.0000 0.8934

Calculated values
- Magnetic moment: 0.0000 μB/atom
- Calculated volume: 108.8 Å³ per cell

2) Material: Si2PC
Method: DFT, PBE-GGA
State: optimized geometry

Cell lengths 8.6311, 3.2147, 4.3618 Å; angles 90.00, 90.87, 90.00 degrees
Space group Cm (No. 8)
Symmetry-distinct sites (fractional):
Si1 0.0000 0.0000 0.0000
Si2 0.2176 0.0000 0.6816
P1 0.0697 0.5000 0.4303
C1 0.4282 0.0000 0.7543

Calculated values
- Magnetic moment: 0.0000 μB/atom
- Calculated volume: 121.0 Å³ per cell

3) Material: Si2PC
Method: DFT, PBE-GGA
State: optimized geometry

Cell lengths 5.6456, 3.2737, 5.7485 Å; angles 90.00, 90.98, 90.00 degrees
Space group Cm (No. 8)
Symmetry-distinct sites (fractional):
Si1 0.0000 0.0000 0.0000
Si2 0.1817 0.5000 0.6533
P1 0.3384 0.0000 0.2123
C1 0.3453 0.0000 0.5305

Calculated values
- Magnetic moment: 0.0000 μB/atom
- Calculated volume: 106.2 Å³ per cell

4) Material: Si2PC
Method: DFT, PBE-GGA
State: optimized geometry

Cell lengths 5.6573, 3.2714, 6.7553 Å; angles 90.00, 106.48, 90.00 degrees
Space group Cm (No. 8)
Symmetry-distinct sites (fractional):
Si1 0.0000 0.0000 0.0000
Si2 0.1309 0.0000 0.3927
P1 0.3582 0.5000 0.5724
C1 0.1617 0.5000 0.9858

Calculated values
- Magnetic moment: 0.0000 μB/atom
- Calculated volume: 119.9 Å³ per cell

It comes down to 1), which is 0.073 eV/atom more stable than the next structure.

1) Material: Si2PC
Method: DFT, PBE-GGA
State: optimized geometry

Cell lengths 2.9119, 3.2597, 11.7760 Å; angles 90.00, 90.00, 90.00 degrees
Space group Imm2 (No. 44)
Symmetry-distinct sites (fractional):
Si1 0.0000 0.0000 0.0000
Si2 0.0000 0.0000 0.3100
P1 0.0000 0.5000 0.1771
C1 0.0000 0.5000 0.9054

Calculated values
- Magnetic moment: 0.0000 μB/atom
- Calculated volume: 111.8 Å³ per cell

2) Material: Si2PC
Method: DFT, PBE-GGA
State: optimized geometry

Cell lengths 5.8681, 3.0499, 5.5758 Å; angles 90.00, 91.12, 90.00 degrees
Space group Cm (No. 8)
Symmetry-distinct sites (fractional):
Si1 0.0000 0.0000 0.0000
Si2 0.1815 0.0000 0.5796
P1 0.1982 0.5000 0.2435
C1 0.4828 0.0000 0.7405

Calculated values
- Magnetic moment: 0.0000 μB/atom
- Calculated volume: 99.8 Å³ per cell

3) Material: Si2PC
Method: DFT, PBE-GGA
State: optimized geometry

Cell lengths 2.8970, 7.0188, 4.8748 Å; angles 90.00, 90.00, 90.00 degrees
Space group Amm2 (No. 38)
Symmetry-distinct sites (fractional):
Si1 0.0000 0.2023 0.0000
P1 0.5000 0.0000 0.5641
C1 0.5000 0.0000 0.9391

Calculated values
- Magnetic moment: 0.0000 μB/atom
- Calculated volume: 99.1 Å³ per cell

4) Material: Si2PC
Method: DFT, PBE-GGA
State: optimized geometry

Cell lengths 3.2525, 4.4426, 4.6003 Å; angles 80.09, 71.22, 70.77 degrees
Space group P1 (No. 1)
Symmetry-distinct sites (fractional):
Si1 0.0000 0.0000 0.0000
Si2 0.3912 0.5771 0.6816
P1 0.0677 0.5468 0.3302
C1 0.3793 0.2510 0.0175

Calculated values
- Magnetic moment: 0.0000 μB/atom
- Calculated volume: 59.3 Å³ per cell

It comes down to 1), which is 0.037 eV/atom more stable than the next structure.

1) Material: Sn2PC
Method: DFT, PBE-GGA
State: optimized geometry

Cell lengths 5.7886, 5.7886, 10.3922 Å; angles 90.00, 90.00, 90.00 degrees
Space group I-42d (No. 122)
Symmetry-distinct sites (fractional):
Sn1 0.1942 0.2500 0.1250
P1 0.0000 0.0000 0.5000
C1 0.0000 0.0000 0.0000

Calculated values
- Magnetic moment: 0.0000 μB/atom
- Calculated volume: 348.2 Å³ per cell

2) Material: Sn2PC
Method: DFT, PBE-GGA
State: optimized geometry

Cell lengths 6.6328, 6.6328, 6.6328 Å; angles 90.00, 90.00, 90.00 degrees
Space group Fm-3m (No. 225)
Symmetry-distinct sites (fractional):
Sn1 0.2500 0.2500 0.2500
P1 0.0000 0.0000 0.0000
C1 0.0000 0.0000 0.5000

Calculated values
- Magnetic moment: 0.0000 μB/atom
- Calculated volume: 291.8 Å³ per cell

It comes down to 1), which is 0.703 eV/atom more stable than the next structure.